Density functional theory data (GGA-PBE) for a geometry-optimized SrTlPO2 structure.

Properties
Distance to the lowest polymorph of the same formula in eV per formula unit: 1.42
Raw formation energy in eV/atom: -0.11

Unit cell a=4.5149 b=4.5149 c=6.3155 alpha=90.00 beta=90.00 gamma=90.00
Sites, in units of the cell vectors:
Sr: 0.0000 0.0000 0.0000
Tl: 0.5000 0.5000 0.5000
P: 0.0000 0.0000 0.5000
O: 0.0000 0.5000 0.0000
O: 0.5000 0.0000 0.0000

---

Density functional theory data (GGA-PBE) for a geometry-optimized KMg3Fe structure.

Properties
Distance to the lowest polymorph of the same formula in eV per formula unit: 7.75

Unit cell a=5.9969 b=5.9969 c=5.9969 alpha=90.00 beta=90.00 gamma=90.00
Sites, in units of the cell vectors:
K: 0.0000 0.0000 0.0000
Mg: 0.0000 0.0000 0.5000
Mg: 0.0000 0.5000 0.0000
Mg: 0.5000 0.0000 0.0000
Fe: 0.5000 0.5000 0.5000

---

Density functional theory data (GGA-PBE) for a geometry-optimized V2MoW8 structure.

Properties
DFT total energy in eV/atom: -11.30

Unit cell a=5.5112 b=5.5112 c=6.8237 alpha=102.98 beta=102.98 gamma=100.60
Sites, in units of the cell vectors:
V: 0.1853 0.1853 0.0610
V: 0.8147 0.8147 0.9390
Mo: 0.5000 0.5000 0.5000
W: 0.1055 0.1055 0.3818
W: 0.1554 0.6504 0.2138
W: 0.3496 0.8446 0.7862
W: 0.3607 0.3607 0.8084
W: 0.6393 0.6393 0.1916
W: 0.6504 0.1554 0.2138
W: 0.8446 0.3496 0.7862
W: 0.8945 0.8945 0.6182

---

Size of the total moment (μB/f.u.)
2.6 0.2 0.0